1.
LiSiTe | PBE | optimized geometry

Properties
The magnetic moment comes out at 0.00 μB/cell. As for the uncorrected formation energy: 0.5 kcal/mol of atoms. As for the symmetry: P3m1. The final energy is -3.4704 eV/atom. The crystal system is trigonal.

a b c (Å): 3.7576 3.7576 5.6044
angles (deg): 90.00 90.00 120.00
Closest atoms and distances in Å follow each position.
Fractional coordinates of all 3 atoms:
Li 0.0000 0.0000 0.0000  3 Si 2.87, 3 Te 3.00
Si 0.3333 0.6667 0.3349  3 Te 2.73, 3 Li 2.87
Te 0.6667 0.3333 0.6300  3 Si 2.73, 3 Li 3.00

2.
TcBPCl2 | PBE | optimized geometry

Properties
The magnetic moment comes out at 4.12 μB/cell. As for the uncorrected formation energy: 24.1 kcal/mol of atoms. As for the symmetry: P4/mmm. The final energy is -4.1846 eV/atom. The crystal system is tetragonal.

a b c (Å): 4.1760 4.1760 4.7484
angles (deg): 90.00 90.00 90.00
Closest atoms and distances in Å follow each position.
Fractional coordinates of all 5 atoms:
Tc 0.0000 0.0000 0.0000  4 P 2.95, 8 Cl 3.16
B 0.5000 0.5000 0.5000  4 Cl 2.09
P 0.5000 0.5000 0.0000  2 B 2.37
Cl 0.0000 0.5000 0.5000  2 B 2.09
Cl 0.5000 0.0000 0.5000  2 B 2.09

3.
PmNd6Y2Sc | PBE | optimized geometry

Properties
The magnetic moment comes out at 0.00 μB/cell. As for the symmetry: C2/m. The final energy is -5.0403 eV/atom. The crystal system is monoclinic. The formation energy comes out at 0.221 eV/atom.

a b c (Å): 6.3342 6.3342 9.1602
angles (deg): 99.03 99.03 71.53
Closest atoms and distances in Å follow each position.
Fractional coordinates of all 10 atoms:
Pm 0.0000 0.0000 0.0000  4 Nd 3.38
Nd 0.1451 0.5951 0.2299  1 Sc 3.07, 3 Nd 3.17-3.42, 1 Pm 3.38
Nd 0.3677 0.3677 0.8661  5 Nd 3.17-3.42
Nd 0.4049 0.8549 0.7701  1 Sc 3.07, 3 Nd 3.17-3.42, 1 Pm 3.38
Nd 0.5951 0.1451 0.2299  1 Sc 3.07, 3 Nd 3.17-3.42, 1 Pm 3.38
Nd 0.6323 0.6323 0.1339  5 Nd 3.17-3.42
Nd 0.8549 0.4049 0.7701  1 Sc 3.07, 3 Nd 3.17-3.42, 1 Pm 3.38
Y 0.1584 0.1584 0.4441  1 Sc 3.45, 1 Y 3.60, 6 Nd 3.61-3.81
Y 0.8416 0.8416 0.5559  1 Sc 3.45, 1 Y 3.60, 6 Nd 3.61-3.81
Sc 0.5000 0.5000 0.5000  4 Nd 3.07

4.
Ho2ThP3 | PBE | optimized geometry

Properties
The magnetic moment comes out at 0.00 μB/cell. As for the symmetry: C2/m. The final energy is -6.8528 eV/atom. The crystal system is monoclinic. The formation energy comes out at -1.385 eV/atom.

a b c (Å): 8.0545 8.0545 9.8308
angles (deg): 108.31 108.31 28.85
Closest atoms and distances in Å follow each position.
Fractional coordinates of all 12 atoms:
Ho 0.1694 0.1694 0.3351  6 P 2.82-2.97
Ho 0.3297 0.3297 0.1643  6 P 2.85-2.92
Ho 0.6703 0.6703 0.8357  6 P 2.85-2.92
Ho 0.8306 0.8306 0.6649  6 P 2.82-2.97
Th 0.0000 0.0000 0.5000  6 P 2.88-2.93
Th 0.5000 0.5000 0.0000  6 P 2.91-2.92
P 0.0300 0.0300 0.8053  3 Th 2.88-2.91, 3 Ho 2.91-2.97
P 0.3039 0.3039 0.8596  5 Ho 2.85-2.89, 1 Th 2.92
P 0.3586 0.3586 0.4733  4 Ho 2.82-2.92, 2 Th 2.93
P 0.6414 0.6414 0.5267  4 Ho 2.82-2.92, 2 Th 2.93
P 0.6961 0.6961 0.1404  5 Ho 2.85-2.89, 1 Th 2.92
P 0.9700 0.9700 0.1947  3 Th 2.88-2.91, 3 Ho 2.91-2.97

5.
ThSi4Ni2 | PBE | optimized geometry

Properties
The magnetic moment comes out at 0.00 μB/cell. As for the uncorrected formation energy: -11.5 kcal/mol of atoms. As for the symmetry: Pnma. The final energy is -6.3113 eV/atom. The crystal system is orthorhombic.

a b c (Å): 17.3352 3.8835 6.4672
angles (deg): 90.00 90.00 90.00
Closest atoms and distances in Å follow each position.
Fractional coordinates of all 28 atoms:
Th 0.1135 0.2500 0.0087  8 Si 3.01-3.25, 2 Ni 3.11
Th 0.3865 0.7500 0.5087  8 Si 3.01-3.25, 2 Ni 3.11
Th 0.6135 0.2500 0.4913  8 Si 3.01-3.25, 2 Ni 3.11
Th 0.8865 0.7500 0.9913  8 Si 3.01-3.25, 2 Ni 3.11
Si 0.0286 0.7500 0.2822  3 Ni 2.44-2.54, 3 Si 2.53-2.55
Si 0.0880 0.2500 0.4760  3 Ni 2.33-2.38, 3 Si 2.53-2.55
Si 0.1899 0.7500 0.6622  4 Ni 2.34-2.45
Si 0.2129 0.7500 0.2582  3 Ni 2.30-2.31
Si 0.2871 0.2500 0.7582  3 Ni 2.30-2.31
Si 0.3101 0.2500 0.1622  4 Ni 2.34-2.45
Si 0.4120 0.7500 0.9760  3 Ni 2.33-2.38, 3 Si 2.53-2.55
Si 0.4714 0.2500 0.7822  3 Ni 2.44-2.54, 3 Si 2.53-2.55
Si 0.5286 0.7500 0.2178  3 Ni 2.44-2.54, 3 Si 2.53-2.55
Si 0.5880 0.2500 0.0240  3 Ni 2.33-2.38, 3 Si 2.53-2.55
Si 0.6899 0.7500 0.8378  4 Ni 2.34-2.45
Si 0.7129 0.7500 0.2418  3 Ni 2.30-2.31
Si 0.7871 0.2500 0.7418  3 Ni 2.30-2.31
Si 0.8101 0.2500 0.3378  4 Ni 2.34-2.45
Si 0.9120 0.7500 0.5240  3 Ni 2.33-2.38, 3 Si 2.53-2.55
Si 0.9714 0.2500 0.7178  3 Ni 2.44-2.54, 3 Si 2.53-2.55
Ni 0.0549 0.7500 0.6682  6 Si 2.34-2.54
Ni 0.2218 0.2500 0.4466  7 Si 2.30-2.45
Ni 0.2782 0.7500 0.9466  7 Si 2.30-2.45
Ni 0.4451 0.2500 0.1682  6 Si 2.34-2.54
Ni 0.5549 0.7500 0.8318  6 Si 2.34-2.54
Ni 0.7218 0.2500 0.0534  7 Si 2.30-2.45
Ni 0.7782 0.7500 0.5534  7 Si 2.30-2.45
Ni 0.9451 0.2500 0.3318  6 Si 2.34-2.54

6.
Mg2InN2 | PBE | optimized geometry

Properties
The magnetic moment comes out at 0.78 μB/cell. As for the uncorrected formation energy: -6.2 kcal/mol of atoms. As for the symmetry: I4/mmm. The final energy is -4.7843 eV/atom. The crystal system is tetragonal.

a b c (Å): 6.3299 6.3299 6.3299
angles (deg): 143.30 143.30 52.87
Closest atoms and distances in Å follow each position.
Fractional coordinates of all 5 atoms:
Mg 0.2500 0.7500 0.5000  4 N 2.13
Mg 0.7500 0.2500 0.5000  4 N 2.13
In 0.0000 0.0000 0.0000  2 N 2.08
N 0.1838 0.1838 0.0000  1 In 2.08, 4 Mg 2.13
N 0.8162 0.8162 0.0000  1 In 2.08, 4 Mg 2.13

- Which formula does entry 6 have?
  Mg2InN2

- What is the formula in the second record?
  TcBPCl2

- The lowest final energy belongs to which entry?
  Ho2ThP3